CdNi2Mo after structural relaxation, computed with PBE.

Total magnetic moment, μB per formula unit: 0.00
Fermi-level density of states, states/eV/atom: 0.565
Energy of formation, eV/atom: 0.274
Space-group type: R3m, No. 160

Lattice parameters (Å, degrees): 2.7532 2.7532 26.5416 90.00 90.00 120.00
Fractional positions:
Cd  0.0000  0.0000  0.0000
Cd  0.3333  0.6667  0.6667
Cd  0.6667  0.3333  0.3333
Ni  0.0000  0.0000  0.4912
Ni  0.0000  0.0000  0.7516
Ni  0.3333  0.6667  0.1579
Ni  0.3333  0.6667  0.4182
Ni  0.6667  0.3333  0.0849
Ni  0.6667  0.3333  0.8245
Mo  0.0000  0.0000  0.2343
Mo  0.3333  0.6667  0.9009
Mo  0.6667  0.3333  0.5676